! NaInAgAu2 | Alexandria | PBE | relaxed; values from VASP
! * formation energy: 0.1965 eV per atom
! * total moment: 0.00 μB per cell
! * E_tot: -12.48 eV/f.u.
&SYSTEM
  ibrav = 0, nat = 5, ntyp = 4
/
ATOMIC_SPECIES
Na 22.99 Na.upf
Ag 107.87 Ag.upf
Au 196.97 Au.upf
In 114.82 In.upf
ATOMIC_POSITIONS crystal
Na 0.5000 0.5000 0.5000
Ag 0.0000 0.0000 0.0000
Au 0.0000 0.0000 0.5000
Au 0.5000 0.0000 0.0000
In 0.0000 0.5000 0.0000
CELL_PARAMETERS angstrom
-3.4186 -0.9316 3.9186
2.2216 -4.5496 0.8566
3.3165 2.2656 3.4319